(1)
A plane-wave DFT calculation with GGA-PBE was carried out for a geometry-optimized Pm8Si3Te4O structure.

Cell lengths 8.4417, 8.7323, 8.4448 Å; angles 118.93, 119.99, 90.00 degrees
Fractional positions:
1 Pm 0.2584 0.2751 0.5168
2 O 0.0000 0.5000 0.0000
3 Si 0.5000 0.5000 0.5000
4 Te 0.0000 0.0000 0.5000
5 Pm 0.2313 0.7109 0.9795
6 Pm 0.7687 0.2891 0.0205
7 Pm 0.7674 0.2879 0.5348
8 Pm 0.7416 0.7249 0.4832
9 Te 0.5000 0.0000 0.5000
10 Te 0.5000 0.0000 0.0000
11 Pm 0.7481 0.7109 0.9795
12 Si 0.0000 0.5000 0.5000
13 Pm 0.2326 0.7121 0.4652
14 Si 0.5000 0.5000 0.0000
15 Te 0.0000 0.0000 0.0000
16 Pm 0.2519 0.2891 0.0205

total moment	0.0	Bohr magnetons per cell
N(E_F)	4.74	states/eV per cell
energy relative to the elements, uncorrected	-2016	kJ/mol of formula units
symmetry	C2/m, No. 12

(2)
A plane-wave DFT calculation with GGA-PBE was carried out for a geometry-optimized Sc2SnBI structure.

Cell lengths 5.0753, 4.2308, 5.0753 Å; angles 90.00, 90.00, 90.00 degrees
Fractional positions:
1 Sc 0.5000 0.0000 0.0000
2 B 0.0000 0.0000 0.0000
3 Sc 0.0000 0.0000 0.5000
4 I 0.5000 0.5000 0.5000
5 Sn 0.0000 0.5000 0.0000

total moment	0.5	Bohr magnetons per cell
N(E_F)	4.74	states/eV per cell
energy relative to the elements, uncorrected	-16	kJ/mol of formula units
symmetry	P4/mmm, No. 123